No. 1
# LaYCo2Si2, relaxed, DFT PBE
# * volume: 18.49 Å³ per atom
# * size of the total moment: 0.62 μB per formula unit
data_LaYCo2Si2
_chemical_formula_sum 'La1 Y1 Co2 Si2'
_cell_length_a 4.000
_cell_length_b 4.000
_cell_length_c 6.934
_cell_angle_alpha 90.00
_cell_angle_beta 90.00
_cell_angle_gamma 90.00
_symmetry_space_group_name_H-M 'P 4 m m'
_symmetry_Int_Tables_number 99
loop_
_symmetry_equiv_pos_as_xyz
'x,y,z'
'-y,x,z'
'-x,-y,z'
'y,-x,z'
'-x,y,z'
'y,x,z'
'x,-y,z'
'-y,-x,z'
loop_
_atom_site_label
_atom_site_fract_x
_atom_site_fract_y
_atom_site_fract_z
La1 0.000 0.000 0.000
Y1 0.500 0.500 0.629
Co1 0.000 0.500 0.332
Si1 0.000 0.000 0.506
Si2 0.500 0.500 0.163

No. 2
# RbNbW, relaxed, DFT PBE
# * volume: 24.86 Å³ per atom
# * size of the total moment: 0.00 μB per formula unit
data_RbNbW
_chemical_formula_sum 'Rb4 Nb4 W4'
_cell_length_a 6.682
_cell_length_b 6.682
_cell_length_c 6.682
_cell_angle_alpha 90.00
_cell_angle_beta 90.00
_cell_angle_gamma 90.00
_symmetry_space_group_name_H-M 'F -4 3 m'
_symmetry_Int_Tables_number 216
_symmetry_space_group_name_Hall 'F -4 2 3'
loop_
_atom_site_label
_atom_site_fract_x
_atom_site_fract_y
_atom_site_fract_z
Rb1 0.000 0.000 0.000
Nb1 0.000 0.000 0.500
W1 0.250 0.250 0.750

No. 3
# CoBiAs2, relaxed, DFT PBE
# * volume: 19.25 Å³ per atom
# * size of the total moment: 0.00 μB per formula unit
data_CoBiAs2
_chemical_formula_sum 'Co4 Bi4 As8'
_cell_length_a 6.753
_cell_length_b 6.753
_cell_length_c 6.753
_cell_angle_alpha 90.00
_cell_angle_beta 90.00
_cell_angle_gamma 90.00
_symmetry_space_group_name_H-M 'F -4 3 m'
_symmetry_Int_Tables_number 216
_symmetry_space_group_name_Hall 'F -4 2 3'
loop_
_atom_site_label
_atom_site_fract_x
_atom_site_fract_y
_atom_site_fract_z
Co1 0.000 0.000 0.000
Bi1 0.250 0.250 0.750
As1 0.000 0.000 0.500
As2 0.250 0.250 0.250

No. 4
# Sc5Hg3, relaxed, DFT PBE
# * volume: 22.19 Å³ per atom
# * size of the total moment: 0.93 μB per formula unit
# * formation enthalpy at 0 K: -2.5 eV/f.u.
data_Sc5Hg3
_chemical_formula_sum 'Sc30 Hg18'
_cell_length_a 14.8093
_cell_length_b 14.8093
_cell_length_c 5.6077
_cell_angle_alpha 90.00
_cell_angle_beta 90.00
_cell_angle_gamma 120.00
_symmetry_space_group_name_H-M 'P 63 m c'
_symmetry_Int_Tables_number 186
_symmetry_space_group_name_Hall 'P 6c -2c'
loop_
_atom_site_label
_atom_site_fract_x
_atom_site_fract_y
_atom_site_fract_z
Sc1 0.0014 0.3340 0.0000
Sc2 0.0789 0.1578 0.2455
Sc3 0.1757 0.5879 0.2501
Sc4 0.2544 0.5089 0.7501
Hg1 0.0686 0.5343 0.7497
Hg2 0.1323 0.2646 0.7455
Hg3 0.2010 0.4020 0.2527

No. 5
# LiZr, relaxed, DFT PBE
# * volume: 19.44 Å³ per atom
# * size of the total moment: 0.01 μB per formula unit
data_LiZr
_chemical_formula_sum 'Li10 Zr10'
_cell_length_a 4.716
_cell_length_b 17.399
_cell_length_c 4.738
_cell_angle_alpha 90.00
_cell_angle_beta 90.00
_cell_angle_gamma 90.00
_symmetry_space_group_name_H-M 'A m m 2'
_symmetry_Int_Tables_number 38
loop_
_symmetry_equiv_pos_as_xyz
'x,y,z'
'-x,-y,z'
'-x,y,z'
'x,-y,z'
'x,y+1/2,z+1/2'
'-x,-y+1/2,z+1/2'
'-x,y+1/2,z+1/2'
'x,-y+1/2,z+1/2'
loop_
_atom_site_label
_atom_site_fract_x
_atom_site_fract_y
_atom_site_fract_z
Li1 0.000 0.000 0.000
Li2 0.000 0.213 0.000
Li3 0.500 0.212 0.504
Zr1 0.000 0.104 0.500
Zr2 0.500 0.000 0.507
Zr3 0.500 0.103 0.004

No. 6
# ZnSe8Cl2, relaxed, DFT PBE
# * volume: 64.74 Å³ per atom
data_ZnSe8Cl2
_chemical_formula_sum 'Zn3 Se24 Cl6'
_cell_length_a 6.5143
_cell_length_b 6.5143
_cell_length_c 58.1311
_cell_angle_alpha 90.00
_cell_angle_beta 90.00
_cell_angle_gamma 120.00
_symmetry_space_group_name_H-M 'R -3'
_symmetry_Int_Tables_number 148
_symmetry_space_group_name_Hall '-R 3'
loop_
_atom_site_label
_atom_site_fract_x
_atom_site_fract_y
_atom_site_fract_z
Zn1 0.0000 0.0000 0.0000
Se1 0.0000 0.0000 0.0387
Se2 0.0515 0.5276 0.9802
Cl1 0.0000 0.0000 0.2728

Number 1: electronic total energy -6.78 eV/atom. Number 2: electronic total energy -5.66 eV/atom. Number 3: electronic total energy -4.51 eV/atom. Number 4: electronic total energy -4.38 eV/atom. Number 5: electronic total energy -4.96 eV/atom. Number 6: electronic total energy -2.74 eV/atom.